Entry 1:
CsLi2CdPb | PBE | relaxed

Unit cell a=5.585 b=5.585 c=5.889 alpha=90.00 beta=90.00 gamma=90.00
Atoms (fractional coordinates):
Li 0.500 0.000 0.000
Cd 0.000 0.000 0.500
Pb 0.000 0.000 0.000
Li 0.000 0.500 0.000
Cs 0.500 0.500 0.500

The space group is P4/mmm. Its theoretical density is 4.22 g/cm³. The final energy is -1.93 eV/atom.

***

Entry 2:
Be2CdTc | PBE | relaxed

Unit cell a=4.244 b=4.244 c=4.244 alpha=60.00 beta=60.00 gamma=60.00
Atoms (fractional coordinates):
Be 0.000 0.000 0.000
Be 0.750 0.750 0.750
Cd 0.500 0.500 0.500
Tc 0.250 0.250 0.250

The space group is F-43m. Its theoretical density is 7.02 g/cm³. The final energy is -4.10 eV/atom.

***

Please write out number 2 again, unchanged.
Be2CdTc | PBE | relaxed

Unit cell a=4.244 b=4.244 c=4.244 alpha=60.00 beta=60.00 gamma=60.00
Atoms (fractional coordinates):
Be 0.000 0.000 0.000
Be 0.750 0.750 0.750
Cd 0.500 0.500 0.500
Tc 0.250 0.250 0.250

The space group is F-43m. Its theoretical density is 7.02 g/cm³. The final energy is -4.10 eV/atom.